First-principles (SCAN) data for a PBEsol-optimized structure of ZrAlN2, as listed in Alexandria via LeMat-Bulk.

The value obtained for the formation energy from raw total energies is -1.374 eV/atom. As for the total DFT energy (no corrections): -15.632 eV per atom. The magnetization comes out at 2.781 Bohr magnetons per cell.

It has space group I-42d (No. 122), with a = 4.7306 Å, b = 4.7306 Å, c = 9.0692 Å, α = 90.00°, β = 90.00° and γ = 90.00°. The inequivalent atoms are Zr at (0.0000, 0.0000, 0.0000), Al at (0.0000, 0.0000, 0.5000) and N at (0.2117, 0.2500, 0.6250).

***

First-principles (SCAN) data for a PBEsol-optimized structure of Zr5Al3N, as listed in Alexandria via LeMat-Bulk.

The value obtained for the formation energy from raw total energies is -0.802 eV/atom. As for the total DFT energy (no corrections): -21.473 eV per atom. The magnetization comes out at 0.000 Bohr magnetons per cell.

It has space group P6_3/mcm (No. 193), with a = 8.1799 Å, b = 8.1799 Å, c = 5.5624 Å, α = 90.00°, β = 90.00° and γ = 120.00°. The inequivalent atoms are Zr at (0.0000, 0.2225, 0.2500), Zr at (0.3333, 0.6667, 0.0000), Al at (0.0000, 0.4028, 0.7500) and N at (0.0000, 0.0000, 0.0000).